P:
Computed, not measured: an optimized crystal structure of GeSb2IF at the PBE-GGA level of DFT.

The value obtained for the density of states at the Fermi level is 4.57 states/eV/cell.

The structure in CIF format:
```
data_GeSb2IF
_symmetry_space_group_name_H-M 'P 4/m m m'
_symmetry_Int_Tables_number 123
_symmetry_space_group_name_Hall '-P 4 2'
_cell_length_a 5.387
_cell_length_b 5.387
_cell_length_c 5.591
_cell_angle_alpha 90.00
_cell_angle_beta 90.00
_cell_angle_gamma 90.00
loop_
_atom_site_label
_atom_site_type_symbol
_atom_site_fract_x
_atom_site_fract_y
_atom_site_fract_z
Ge1 Ge 0.000 0.000 0.000
Sb1 Sb 0.000 0.500 0.000
I1 I 0.000 0.000 0.500
F1 F 0.500 0.500 0.500
```

***

Q:
Computed, not measured: an optimized crystal structure of GeSb2IF at the PBE-GGA level of DFT.

The value obtained for the density of states at the Fermi level is 3.27 states/eV/cell.

The structure in CIF format:
```
data_GeSb2IF
_symmetry_space_group_name_H-M 'P 4/m m m'
_symmetry_Int_Tables_number 123
_symmetry_space_group_name_Hall '-P 4 2'
_cell_length_a 4.689
_cell_length_b 4.689
_cell_length_c 6.169
_cell_angle_alpha 90.00
_cell_angle_beta 90.00
_cell_angle_gamma 90.00
loop_
_atom_site_label
_atom_site_type_symbol
_atom_site_fract_x
_atom_site_fract_y
_atom_site_fract_z
Ge1 Ge 0.000 0.000 0.000
Sb1 Sb 0.000 0.500 0.500
I1 I 0.500 0.500 0.000
F1 F 0.500 0.500 0.500
```

***

Result of the stability comparison: P is the least stable of them.

***

P:
Computed, not measured: an optimized crystal structure of ScGeIF2 at the PBE-GGA level of DFT.

The value obtained for the density of states at the Fermi level is 5.80 states/eV/cell.

The structure in CIF format:
```
data_ScGeIF2
_symmetry_space_group_name_H-M 'P 4/m m m'
_symmetry_Int_Tables_number 123
_symmetry_space_group_name_Hall '-P 4 2'
_cell_length_a 4.269
_cell_length_b 4.269
_cell_length_c 6.569
_cell_angle_alpha 90.00
_cell_angle_beta 90.00
_cell_angle_gamma 90.00
loop_
_atom_site_label
_atom_site_type_symbol
_atom_site_fract_x
_atom_site_fract_y
_atom_site_fract_z
Sc1 Sc 0.000 0.000 0.000
Ge1 Ge 0.500 0.500 0.500
I1 I 0.500 0.500 0.000
F1 F 0.000 0.500 0.500
```

***

Q:
Computed, not measured: an optimized crystal structure of ScGeIF2 at the PBE-GGA level of DFT.

The value obtained for the density of states at the Fermi level is 0.81 states/eV/cell.

The structure in CIF format:
```
data_ScGeIF2
_symmetry_space_group_name_H-M 'P 4/m m m'
_symmetry_Int_Tables_number 123
_symmetry_space_group_name_Hall '-P 4 2'
_cell_length_a 4.147
_cell_length_b 4.147
_cell_length_c 5.986
_cell_angle_alpha 90.00
_cell_angle_beta 90.00
_cell_angle_gamma 90.00
loop_
_atom_site_label
_atom_site_type_symbol
_atom_site_fract_x
_atom_site_fract_y
_atom_site_fract_z
Sc1 Sc 0.000 0.000 0.000
Ge1 Ge 0.000 0.000 0.500
I1 I 0.500 0.500 0.500
F1 F 0.000 0.500 0.000
```

***

Result of the stability comparison: P is the least stable of them.